(1)
HoVRh2 | PBE | relaxed

Computed properties:
calculated total energy	-0.55240	Ry per atom
ΔH_f (0 K)	-416	meV/atom
spin magnetization	0.000	μB per atom
space group	R-3m, No. 166
ΔE to the lowest computed polymorph	28	kJ/mol of formula units

CIF file:
```
data_HoVRh2
_symmetry_space_group_name_H-M 'P 1'
_symmetry_Int_Tables_number 1
_cell_length_a 5.3165
_cell_length_b 5.3165
_cell_length_c 5.3165
_cell_angle_alpha 46.73
_cell_angle_beta 46.73
_cell_angle_gamma 46.73
loop_
_symmetry_equiv_pos_as_xyz
'x,y,z'
loop_
_atom_site_label
_atom_site_type_symbol
_atom_site_fract_x
_atom_site_fract_y
_atom_site_fract_z
_atom_site_occupancy
Ho1 Ho 0.0000 0.0000 0.0000 1
V1 V 0.5000 0.5000 0.5000 1
Rh1 Rh 0.2159 0.2159 0.2159 1
Rh2 Rh 0.7841 0.7841 0.7841 1
```

(2)
LiNd3Cu2 | PBE | relaxed

Computed properties:
calculated total energy	-0.30218	Ry per atom
ΔH_f (0 K)	-43	meV/atom
spin magnetization	0.000	μB per atom
space group	P-3m1, No. 164

CIF file:
```
data_LiNd3Cu2
_symmetry_space_group_name_H-M 'P 1'
_symmetry_Int_Tables_number 1
_cell_length_a 5.1598
_cell_length_b 5.1598
_cell_length_c 12.6228
_cell_angle_alpha 90.00
_cell_angle_beta 90.00
_cell_angle_gamma 120.00
loop_
_symmetry_equiv_pos_as_xyz
'x,y,z'
loop_
_atom_site_label
_atom_site_type_symbol
_atom_site_fract_x
_atom_site_fract_y
_atom_site_fract_z
_atom_site_occupancy
Li1 Li 0.3333 0.6667 0.1758 1
Li2 Li 0.6667 0.3333 0.8242 1
Nd1 Nd 0.0000 0.0000 0.2600 1
Nd2 Nd 0.0000 0.0000 0.7400 1
Nd3 Nd 0.3333 0.6667 0.4290 1
Nd4 Nd 0.3333 0.6667 0.9190 1
Nd5 Nd 0.6667 0.3333 0.0810 1
Nd6 Nd 0.6667 0.3333 0.5710 1
Cu1 Cu 0.0000 0.0000 0.0000 1
Cu2 Cu 0.0000 0.0000 0.5000 1
Cu3 Cu 0.3333 0.6667 0.6814 1
Cu4 Cu 0.6667 0.3333 0.3186 1
```

> Which formula does entry 1 have?

HoVRh2